VASP calculation (meta-GGA SCAN) on LaCuW at its PBEsol-relaxed geometry.

Cell: 4.499 4.499 4.499 Å, 60.00 60.00 60.00°
Sites, in units of the cell vectors:
1 La 0.000 0.000 0.000
2 Cu 0.250 0.250 0.250
3 W 0.500 0.500 0.500

Output
The value obtained for the offset from the most stable computed form is 555 meV per atom. Its symmetry is F-43m, No. 216. The energy of formation from the pure elements is 1.1192 eV/atom.